This record from Alexandria via LeMat-Bulk describes an optimized crystal structure of Zr2AlHg. The functional is PBE.

VASP energy in Ry/atom: -0.3956
Calculated density in g/cm³: 8.00
Calculated volume in Å³/atom: 21.3

abc: 10.321 10.321 10.321
angles: 17.33 17.33 17.33
Fractional positions:
1 Al 0.250 0.250 0.250
2 Zr 0.502 0.502 0.502
3 Zr 0.998 0.998 0.998
4 Hg 0.750 0.750 0.750